Density functional theory data (meta-GGA SCAN) for a crystal of ZnCuNi relaxed with PBEsol.

## Properties
Formation energy from the elements = -0.0953 eV/atom
Fermi-level density of states = 1.2 states/eV/f.u.
Calculated volume = 34 Å³/f.u.

Cell lengths 2.584, 3.493, 7.617 Å; angles 90.00, 90.00, 90.00 degrees
Space group Imm2 (No. 44)
One atom of each set of equivalent atoms:
Zn1 0.000 0.000 0.000 (multiplicity 2)
Cu1 0.000 0.000 0.671 (multiplicity 2)
Ni1 0.000 0.000 0.336 (multiplicity 2)